1.
Here is a relaxed structure of Mg2Ti5P6O24 from Alexandria. Energies are from GGA-PBEsol.

Lattice parameters (Å, degrees): 6.413 7.940 9.425 104.81 107.81 102.32
Fractional positions:
Mg 0.207 0.189 0.205
Mg 0.793 0.811 0.795
Ti 0.100 0.540 0.393
Ti 0.462 0.294 0.980
Ti 0.500 0.000 0.500
Ti 0.538 0.706 0.020
Ti 0.900 0.460 0.607
P 0.104 0.771 0.136
P 0.283 0.860 0.736
P 0.424 0.410 0.666
P 0.576 0.590 0.334
P 0.717 0.140 0.264
P 0.896 0.229 0.864
O 0.040 0.635 0.216
O 0.052 0.741 0.731
O 0.120 0.222 0.987
O 0.204 0.454 0.582
O 0.235 0.965 0.268
O 0.251 0.719 0.042
O 0.279 0.810 0.562
O 0.306 0.060 0.801
O 0.364 0.457 0.338
O 0.404 0.213 0.587
O 0.445 0.455 0.841
O 0.489 0.812 0.837
O 0.511 0.188 0.163
O 0.555 0.545 0.159
O 0.596 0.787 0.413
O 0.636 0.543 0.662
O 0.694 0.940 0.199
O 0.721 0.190 0.438
O 0.749 0.281 0.958
O 0.765 0.035 0.732
O 0.796 0.546 0.418
O 0.880 0.778 0.013
O 0.948 0.259 0.269
O 0.960 0.365 0.784

D(E_F)   13.54 states/eV per cell
Energy relative to the elements, uncorrected   -2525 meV/atom
Symmetry   P-1 (2)

2.
Here is a relaxed structure of MgTiPO2 from Alexandria. Energies are from GGA-PBEsol.

Lattice parameters (Å, degrees): 3.765 3.765 5.157 90.00 90.00 90.00
Fractional positions:
Mg 0.000 0.000 0.000
Ti 0.500 0.500 0.500
P 0.500 0.500 0.000
O 0.000 0.500 0.500
O 0.500 0.000 0.500

D(E_F)   3.99 states/eV per cell
Energy relative to the elements, uncorrected   -1545 meV/atom
Symmetry   P4/mmm (123)

3.
Here is a relaxed structure of MgTi2P3O12 from Alexandria. Energies are from GGA-PBEsol.

Lattice parameters (Å, degrees): 8.446 8.446 8.446 61.16 61.16 61.16
Fractional positions:
Mg 0.000 0.000 0.000
Mg 0.500 0.500 0.500
Ti 0.144 0.144 0.144
Ti 0.356 0.356 0.356
Ti 0.644 0.644 0.644
Ti 0.856 0.856 0.856
P 0.046 0.750 0.454
P 0.250 0.546 0.954
P 0.454 0.046 0.750
P 0.546 0.954 0.250
P 0.750 0.454 0.046
P 0.954 0.250 0.546
O 0.000 0.180 0.387
O 0.000 0.820 0.613
O 0.058 0.909 0.257
O 0.091 0.743 0.942
O 0.113 0.320 0.500
O 0.180 0.387 0.000
O 0.243 0.591 0.442
O 0.257 0.058 0.909
O 0.320 0.500 0.113
O 0.387 0.000 0.180
O 0.409 0.558 0.757
O 0.442 0.243 0.591
O 0.500 0.113 0.320
O 0.500 0.887 0.680
O 0.558 0.757 0.409
O 0.591 0.442 0.243
O 0.613 0.000 0.820
O 0.680 0.500 0.887
O 0.743 0.942 0.091
O 0.757 0.409 0.558
O 0.820 0.613 0.000
O 0.887 0.680 0.500
O 0.909 0.257 0.058
O 0.942 0.091 0.743

D(E_F)   6.64 states/eV per cell
Energy relative to the elements, uncorrected   -2594 meV/atom
Symmetry   R-3c (167)

4.
Here is a relaxed structure of MgTiVP3O12 from Alexandria. Energies are from GGA-PBEsol.

Lattice parameters (Å, degrees): 8.423 8.423 8.423 60.96 60.96 60.96
Fractional positions:
Mg 0.000 0.000 0.000
Mg 0.500 0.500 0.500
Ti 0.145 0.145 0.145
Ti 0.645 0.645 0.645
V 0.360 0.360 0.360
V 0.860 0.860 0.860
P 0.046 0.752 0.458
P 0.252 0.546 0.958
P 0.458 0.046 0.752
P 0.546 0.958 0.252
P 0.752 0.458 0.046
P 0.958 0.252 0.546
O 0.002 0.821 0.616
O 0.004 0.183 0.384
O 0.055 0.913 0.259
O 0.093 0.744 0.941
O 0.116 0.321 0.502
O 0.183 0.384 0.004
O 0.244 0.593 0.441
O 0.259 0.055 0.913
O 0.321 0.502 0.116
O 0.384 0.004 0.183
O 0.413 0.555 0.759
O 0.441 0.244 0.593
O 0.502 0.116 0.321
O 0.504 0.884 0.683
O 0.555 0.759 0.413
O 0.593 0.441 0.244
O 0.616 0.002 0.821
O 0.683 0.504 0.884
O 0.744 0.941 0.093
O 0.759 0.413 0.555
O 0.821 0.616 0.002
O 0.884 0.683 0.504
O 0.913 0.259 0.055
O 0.941 0.093 0.744

D(E_F)   12.33 states/eV per cell
Energy relative to the elements, uncorrected   -2486 meV/atom
Symmetry   R3c (161)

5.
Here is a relaxed structure of MgTiP3WO12 from Alexandria. Energies are from GGA-PBEsol.

Lattice parameters (Å, degrees): 8.544 8.544 8.544 60.82 60.82 60.82
Fractional positions:
Mg 0.000 0.000 0.000
Mg 0.500 0.500 0.500
Ti 0.142 0.142 0.142
Ti 0.642 0.642 0.642
P 0.041 0.750 0.450
P 0.250 0.541 0.950
P 0.450 0.041 0.750
P 0.541 0.950 0.250
P 0.750 0.450 0.041
P 0.950 0.250 0.541
W 0.357 0.357 0.357
W 0.857 0.857 0.857
O 0.001 0.817 0.606
O 0.055 0.908 0.254
O 0.093 0.741 0.936
O 0.106 0.317 0.501
O 0.179 0.385 0.998
O 0.241 0.593 0.436
O 0.254 0.055 0.908
O 0.317 0.501 0.106
O 0.385 0.998 0.179
O 0.408 0.555 0.754
O 0.436 0.241 0.593
O 0.498 0.885 0.679
O 0.501 0.106 0.317
O 0.555 0.754 0.408
O 0.593 0.436 0.241
O 0.606 0.001 0.817
O 0.679 0.498 0.885
O 0.741 0.936 0.093
O 0.754 0.408 0.555
O 0.817 0.606 0.001
O 0.885 0.679 0.498
O 0.908 0.254 0.055
O 0.936 0.093 0.741
O 0.998 0.179 0.385

D(E_F)   12.18 states/eV per cell
Energy relative to the elements, uncorrected   -2301 meV/atom
Symmetry   R3c (161)

6.
Here is a relaxed structure of MgTlP2O from Alexandria. Energies are from GGA-PBEsol.

Lattice parameters (Å, degrees): 5.093 5.093 3.630 90.00 90.00 90.00
Fractional positions:
Mg 0.000 0.000 0.000
Tl 0.500 0.500 0.500
P 0.000 0.500 0.000
P 0.500 0.000 0.000
O 0.000 0.000 0.500

D(E_F)   3.84 states/eV per cell
Energy relative to the elements, uncorrected   214 meV/atom
Symmetry   P4/mmm (123)

7.
Here is a relaxed structure of MgTlPO2 from Alexandria. Energies are from GGA-PBEsol.

Lattice parameters (Å, degrees): 4.132 4.132 5.265 90.00 90.00 90.00
Fractional positions:
Mg 0.000 0.000 0.000
Tl 0.500 0.500 0.500
P 0.500 0.500 0.000
O 0.000 0.500 0.500
O 0.500 0.000 0.500

D(E_F)   4.86 states/eV per cell
Energy relative to the elements, uncorrected   194 meV/atom
Symmetry   P4/mmm (123)

8.
Here is a relaxed structure of MgVP4O12 from Alexandria. Energies are from GGA-PBEsol.

Lattice parameters (Å, degrees): 7.204 7.204 10.104 113.28 113.28 70.14
Fractional positions:
Mg 0.052 0.948 0.750
Mg 0.948 0.052 0.250
V 0.000 0.500 0.500
V 0.500 0.000 0.000
P 0.252 0.731 0.023
P 0.269 0.748 0.477
P 0.292 0.314 0.806
P 0.314 0.292 0.306
P 0.686 0.708 0.694
P 0.708 0.686 0.194
P 0.731 0.252 0.523
P 0.748 0.269 0.977
O 0.092 0.853 0.099
O 0.120 0.279 0.324
O 0.147 0.908 0.401
O 0.188 0.345 0.655
O 0.192 0.714 0.584
O 0.206 0.503 0.934
O 0.279 0.120 0.824
O 0.286 0.808 0.916
O 0.318 0.530 0.353
O 0.345 0.188 0.155
O 0.470 0.682 0.147
O 0.497 0.794 0.566
O 0.503 0.206 0.434
O 0.530 0.318 0.853
O 0.655 0.812 0.845
O 0.682 0.470 0.647
O 0.714 0.192 0.084
O 0.721 0.880 0.176
O 0.794 0.497 0.066
O 0.808 0.286 0.416
O 0.812 0.655 0.345
O 0.853 0.092 0.599
O 0.880 0.721 0.676
O 0.908 0.147 0.901

Energy relative to the elements, uncorrected   -2240 meV/atom
Symmetry   C2/c (15)

9.
Here is a relaxed structure of Mg3V4P6O24 from Alexandria. Energies are from GGA-PBEsol.

Lattice parameters (Å, degrees): 6.331 7.923 9.249 105.17 107.52 101.96
Fractional positions:
Mg 0.000 0.000 0.000
Mg 0.284 0.808 0.289
Mg 0.716 0.192 0.711
V 0.044 0.713 0.521
V 0.393 0.461 0.109
V 0.607 0.539 0.891
V 0.956 0.287 0.479
P 0.085 0.595 0.834
P 0.222 0.145 0.766
P 0.396 0.233 0.366
P 0.604 0.767 0.634
P 0.778 0.855 0.234
P 0.915 0.405 0.166
O 0.012 0.189 0.660
O 0.062 0.544 0.652
O 0.109 0.791 0.914
O 0.129 0.537 0.160
O 0.199 0.944 0.697
O 0.222 0.196 0.941
O 0.245 0.283 0.462
O 0.273 0.038 0.237
O 0.304 0.542 0.917
O 0.371 0.762 0.507
O 0.451 0.370 0.282
O 0.454 0.262 0.769
O 0.546 0.738 0.231
O 0.549 0.630 0.718
O 0.629 0.238 0.493
O 0.696 0.458 0.083
O 0.727 0.962 0.763
O 0.755 0.717 0.538
O 0.778 0.804 0.059
O 0.801 0.056 0.303
O 0.871 0.463 0.840
O 0.891 0.209 0.086
O 0.938 0.456 0.348
O 0.988 0.811 0.340

D(E_F)   14.81 states/eV per cell
Energy relative to the elements, uncorrected   -2388 meV/atom
Symmetry   P-1 (2)

10.
Here is a relaxed structure of MgVP2O7 from Alexandria. Energies are from GGA-PBEsol.

Lattice parameters (Å, degrees): 7.011 8.415 9.026 90.00 113.46 90.00
Fractional positions:
Mg 0.194 0.057 0.316
Mg 0.194 0.443 0.816
Mg 0.806 0.557 0.184
Mg 0.806 0.943 0.684
V 0.266 0.075 0.892
V 0.266 0.425 0.392
V 0.734 0.575 0.608
V 0.734 0.925 0.108
P 0.030 0.723 0.967
P 0.030 0.777 0.467
P 0.439 0.730 0.255
P 0.439 0.770 0.755
P 0.561 0.230 0.245
P 0.561 0.270 0.745
P 0.970 0.223 0.533
P 0.970 0.277 0.033
O 0.020 0.090 0.659
O 0.020 0.410 0.159
O 0.051 0.614 0.400
O 0.051 0.886 0.900
O 0.123 0.227 0.450
O 0.123 0.273 0.950
O 0.250 0.665 0.096
O 0.250 0.835 0.596
O 0.380 0.237 0.299
O 0.380 0.263 0.799
O 0.380 0.613 0.805
O 0.380 0.887 0.305
O 0.475 0.597 0.380
O 0.475 0.903 0.880
O 0.525 0.097 0.120
O 0.525 0.403 0.620
O 0.620 0.113 0.695
O 0.620 0.387 0.195
O 0.620 0.737 0.201
O 0.620 0.763 0.701
O 0.750 0.165 0.404
O 0.750 0.335 0.904
O 0.877 0.727 0.050
O 0.877 0.773 0.550
O 0.949 0.114 0.100
O 0.949 0.386 0.600
O 0.980 0.590 0.841
O 0.980 0.910 0.341

Energy relative to the elements, uncorrected   -2292 meV/atom
Excess energy over the best structure of this formula in the dataset   0 meV per atom
Symmetry   P2_1/c (14)

11.
Here is a relaxed structure of MgV3P4O14 from Alexandria. Energies are from GGA-PBEsol.

Lattice parameters (Å, degrees): 7.226 7.482 9.510 90.00 112.10 90.00
Fractional positions:
Mg 0.000 0.000 0.000
Mg 0.000 0.500 0.500
V 0.313 0.131 0.482
V 0.313 0.369 0.982
V 0.500 0.000 0.000
V 0.500 0.500 0.500
V 0.687 0.631 0.018
V 0.687 0.869 0.518
P 0.085 0.084 0.703
P 0.085 0.416 0.203
P 0.363 0.705 0.183
P 0.363 0.795 0.683
P 0.637 0.205 0.317
P 0.637 0.295 0.817
P 0.915 0.584 0.797
P 0.915 0.916 0.297
O 0.120 0.227 0.600
O 0.120 0.273 0.100
O 0.126 0.543 0.814
O 0.126 0.957 0.314
O 0.159 0.605 0.162
O 0.159 0.895 0.662
O 0.213 0.117 0.875
O 0.213 0.383 0.375
O 0.298 0.619 0.596
O 0.298 0.881 0.096
O 0.471 0.584 0.110
O 0.471 0.916 0.610
O 0.474 0.716 0.355
O 0.474 0.784 0.855
O 0.526 0.216 0.145
O 0.526 0.284 0.645
O 0.529 0.084 0.390
O 0.529 0.416 0.890
O 0.702 0.119 0.904
O 0.702 0.381 0.404
O 0.787 0.617 0.625
O 0.787 0.883 0.125
O 0.841 0.105 0.338
O 0.841 0.395 0.838
O 0.874 0.043 0.686
O 0.874 0.457 0.186
O 0.880 0.727 0.900
O 0.880 0.773 0.400

D(E_F)   0.80 states/eV per cell
Energy relative to the elements, uncorrected   -2110 meV/atom
Symmetry   P2_1/c (14)

12.
Here is a relaxed structure of MgVP2O7 from Alexandria. Energies are from GGA-PBEsol.

Lattice parameters (Å, degrees): 5.303 6.490 7.370 80.34 84.07 72.74
Fractional positions:
Mg 0.193 0.345 0.344
Mg 0.807 0.655 0.656
V 0.182 0.841 0.843
V 0.818 0.159 0.157
P 0.276 0.315 0.904
P 0.282 0.813 0.410
P 0.718 0.187 0.590
P 0.724 0.685 0.096
O 0.112 0.546 0.829
O 0.115 0.150 0.928
O 0.121 0.649 0.428
O 0.131 0.047 0.334
O 0.422 0.799 0.586
O 0.423 0.305 0.074
O 0.488 0.255 0.741
O 0.512 0.745 0.259
O 0.577 0.695 0.926
O 0.578 0.201 0.414
O 0.869 0.953 0.666
O 0.879 0.351 0.572
O 0.885 0.850 0.072
O 0.888 0.454 0.171

Energy relative to the elements, uncorrected   -2287 meV/atom
Excess energy over the best structure of this formula in the dataset   6 meV per atom
Symmetry   P-1 (2)

- What is the energy relative to the elements, uncorrected in the tenth record?
  -2292 meV/atom

- Among the records above, which one has the highest energy relative to the elements, uncorrected?
  MgTlP2O

- Number 2 is which compound?
  MgTiPO2

- Which value of energy relative to the elements, uncorrected does entry 4 give?
  -2486 meV/atom